# 1
## Li4Np3ZnN8 (PBE)

Data for a relaxed Li4Np3ZnN8 crystal.

abc: 6.432 6.432 6.236
angles: 115.16 115.16 61.16
Fractional coordinates of all 16 atoms:
Li 0.000 0.000 0.000
Li 0.000 0.500 0.500
Li 0.500 0.000 0.500
Li 0.500 0.500 0.000
Np 0.000 0.000 0.500
Np 0.000 0.500 0.000
Np 0.500 0.000 0.000
Zn 0.500 0.500 0.500
N 0.212 0.737 0.245
N 0.232 0.232 0.751
N 0.240 0.240 0.208
N 0.263 0.788 0.755
N 0.737 0.212 0.245
N 0.760 0.760 0.792
N 0.768 0.768 0.249
N 0.788 0.263 0.755

Calculated values
- ΔE_f (raw): -688 meV/atom
- Magnetization: 3.0 Bohr magnetons per cell
- ρ: 7.7 Mg/m³

# 2
## InC2N (PBE)

Data for a relaxed InC2N crystal.

abc: 5.849 5.849 5.849
angles: 37.42 37.42 37.42
Fractional coordinates of all 4 atoms:
In 0.000 0.000 0.000
C 0.707 0.707 0.707
C 0.864 0.864 0.864
N 0.792 0.792 0.792

Calculated values
- ΔE_f (raw): 780 meV/atom
- Distance to the lowest polymorph of the same formula: 285 meV/atom
- Magnetization: 0.0 Bohr magnetons per cell
- ρ: 3.8 Mg/m³

The highest ΔE_f (raw) belongs to which entry?
InC2N

The highest magnetization belongs to which entry?
Li4Np3ZnN8

Which of these has the highest magnetization?
Li4Np3ZnN8